Computed, not measured: crystalline Pm4AlTl at its relaxed geometry at the PBE-GGA level of DFT.

```
data_Pm4AlTl
_cell_length_a 3.766
_cell_length_b 8.740
_cell_length_c 5.830
_cell_angle_alpha 89.97
_cell_angle_beta 90.00
_cell_angle_gamma 90.00
_symmetry_space_group_name_H-M 'P 1'
_symmetry_Int_Tables_number 1
loop_
_symmetry_equiv_pos_as_xyz
'x,y,z'
loop_
_atom_site_label
_atom_site_type_symbol
_atom_site_fract_x
_atom_site_fract_y
_atom_site_fract_z
Al1 Al 0.000 0.000 0.000
Pm1 Pm 0.500 0.720 0.000
Pm2 Pm 0.500 0.280 0.000
Pm3 Pm 0.000 0.199 0.500
Pm4 Pm 0.000 0.801 0.500
Tl1 Tl 0.500 0.500 0.500
```

Values from the calculation:
E_form = -0.1 eV per formula unit
excess energy over the best structure of this formula in the dataset = 0.023 eV per atom
space-group type = Pmmm


Computed, not measured: crystalline Os2RuAu at its relaxed geometry at the PBE-GGA level of DFT.

```
data_Os2RuAu
_cell_length_a 4.438
_cell_length_b 4.438
_cell_length_c 4.438
_cell_angle_alpha 60.00
_cell_angle_beta 60.00
_cell_angle_gamma 60.00
_symmetry_space_group_name_H-M 'P 1'
_symmetry_Int_Tables_number 1
loop_
_symmetry_equiv_pos_as_xyz
'x,y,z'
loop_
_atom_site_label
_atom_site_type_symbol
_atom_site_fract_x
_atom_site_fract_y
_atom_site_fract_z
Os1 Os 0.250 0.250 0.250
Os2 Os 0.750 0.750 0.750
Au1 Au 0.500 0.500 0.500
Ru1 Ru 0.000 0.000 0.000
```

Values from the calculation:
E_form = 3.6 eV per formula unit
excess energy over the best structure of this formula in the dataset = 0.627 eV per atom
space-group type = Fm-3m


Computed, not measured: crystalline In2ReSi at its relaxed geometry at the PBE-GGA level of DFT.

```
data_In2ReSi
_cell_length_a 5.636
_cell_length_b 5.636
_cell_length_c 4.928
_cell_angle_alpha 74.16
_cell_angle_beta 74.16
_cell_angle_gamma 31.06
_symmetry_space_group_name_H-M 'P 1'
_symmetry_Int_Tables_number 1
loop_
_symmetry_equiv_pos_as_xyz
'x,y,z'
loop_
_atom_site_label
_atom_site_type_symbol
_atom_site_fract_x
_atom_site_fract_y
_atom_site_fract_z
Re1 Re 0.532 0.532 0.517
In1 In 0.783 0.783 0.686
In2 In 0.985 0.985 0.037
Si1 Si 0.200 0.200 0.260
```

Values from the calculation:
electronic total energy = -21.66 eV for the cell shown
space-group type = Cm


Computed, not measured: crystalline CsRhOF2 at its relaxed geometry at the PBE-GGA level of DFT.

```
data_CsRhOF2
_cell_length_a 4.664
_cell_length_b 4.664
_cell_length_c 3.780
_cell_angle_alpha 90.00
_cell_angle_beta 90.00
_cell_angle_gamma 90.00
_symmetry_space_group_name_H-M 'P 1'
_symmetry_Int_Tables_number 1
loop_
_symmetry_equiv_pos_as_xyz
'x,y,z'
loop_
_atom_site_label
_atom_site_type_symbol
_atom_site_fract_x
_atom_site_fract_y
_atom_site_fract_z
F1 F 0.500 0.000 0.000
F2 F 0.000 0.500 0.000
Rh1 Rh 0.000 0.000 0.000
O1 O 0.000 0.000 0.500
Cs1 Cs 0.500 0.500 0.500
```

Values from the calculation:
excess energy over the best structure of this formula in the dataset = 0.000 eV per atom
space-group type = P4/mmm


> Which formula does entry 4 have?

CsRhOF2